No. 1
La4DyIn2: optimized geometry, PBE.

Cell: 6.207 6.207 7.410 Å, 105.90 105.90 111.49°
Sites, in units of the cell vectors:
La: 0.000 0.500 0.000
La: 0.256 0.744 0.500
La: 0.744 0.256 0.500
La: 0.500 0.000 0.000
In: 0.626 0.626 0.243
In: 0.374 0.374 0.757
Dy: 0.000 0.000 0.000

excess energy over the best structure of this formula in the dataset	0.184	eV/atom

---

No. 2
La9DyIn2: optimized geometry, PBE.

Cell: 5.095 5.095 15.483 Å, 90.00 90.00 90.00°
Sites, in units of the cell vectors:
In: 0.000 0.000 0.337
In: 0.000 0.000 0.663
La: 0.500 0.500 0.336
La: 0.500 0.500 0.664
La: 0.500 0.000 0.500
La: 0.500 0.000 0.172
La: 0.000 0.500 0.828
La: 0.500 0.500 0.000
La: 0.500 0.000 0.828
La: 0.000 0.500 0.500
La: 0.000 0.500 0.172
Dy: 0.000 0.000 0.000

final energy	-4.72	eV per atom

---

No. 3
LaDyIn3: optimized geometry, PBE.

Cell: 3.793 4.955 15.012 Å, 90.00 97.26 90.00°
Last column: magnetic moment on the atom in μB.
Sites, in units of the cell vectors:
Dy: 0.787 0.250 0.575  0.17
Dy: 0.213 0.750 0.425  0.17
In: 0.623 0.750 0.247  0.00
In: 0.681 0.250 0.361  0.00
In: 0.525 0.750 0.050  0.00
In: 0.319 0.750 0.639  0.00
In: 0.377 0.250 0.753  0.00
In: 0.475 0.250 0.950  0.00
La: 0.075 0.250 0.149  0.01
La: 0.925 0.750 0.851  0.01

excess energy over the best structure of this formula in the dataset	0.000	eV/atom

---

No. 4
La3DyIn2: optimized geometry, PBE.

Cell: 5.328 6.903 10.382 Å, 90.00 90.00 90.00°
Sites, in units of the cell vectors:
In: 0.500 0.708 0.857
In: 0.500 0.208 0.143
In: 0.000 0.298 0.632
In: 0.000 0.798 0.368
La: 0.000 0.937 0.046
La: 0.500 0.198 0.816
La: 0.000 0.813 0.678
La: 0.500 0.698 0.184
La: 0.000 0.437 0.954
La: 0.000 0.313 0.322
Dy: 0.500 0.046 0.459
Dy: 0.500 0.546 0.541

excess energy over the best structure of this formula in the dataset	0.000	eV/atom

---

No. 5
LaDyIn2: optimized geometry, PBE.

Cell: 4.514 5.033 5.033 Å, 90.00 90.00 90.00°
Sites, in units of the cell vectors:
In: 0.000 0.500 0.000
In: 0.000 0.000 0.500
Dy: 0.500 0.500 0.500
La: 0.500 0.000 0.000

final energy	-4.21	eV per atom

---

No. 6
La5DyIn4: optimized geometry, PBE.

Cell: 3.698 3.698 23.059 Å, 90.00 90.00 90.00°
Sites, in units of the cell vectors:
In: 0.000 0.000 0.597
In: 0.000 0.000 0.208
In: 0.000 0.000 0.792
In: 0.000 0.000 0.403
La: 0.500 0.500 0.887
La: 0.500 0.500 0.694
La: 0.500 0.500 0.306
La: 0.500 0.500 0.113
La: 0.500 0.500 0.500
Dy: 0.000 0.000 0.000

final energy	-4.40	eV per atom

---

No. 7
La2Dy3In2: optimized geometry, PBE.

Cell: 5.518 5.518 8.805 Å, 108.21 89.96 120.02°
Sites, in units of the cell vectors:
In: 0.781 0.563 0.844
In: 0.219 0.437 0.156
Dy: 0.652 0.303 0.455
Dy: 0.500 0.000 0.000
Dy: 0.348 0.697 0.545
La: 0.921 0.843 0.264
La: 0.079 0.157 0.736

excess energy over the best structure of this formula in the dataset	0.021	eV/atom

---

No. 8
La6Dy8In: optimized geometry, PBE.

Cell: 6.485 9.542 9.542 Å, 120.00 90.00 90.00°
Sites, in units of the cell vectors:
La: 0.684 0.448 0.360
La: 0.316 0.552 0.640
La: 0.316 0.088 0.448
La: 0.684 0.640 0.088
La: 0.684 0.912 0.552
La: 0.316 0.360 0.912
Dy: 0.167 0.667 0.333
Dy: 0.813 0.041 0.261
Dy: 0.187 0.959 0.739
Dy: 0.813 0.739 0.780
Dy: 0.187 0.261 0.220
Dy: 0.187 0.780 0.041
Dy: 0.833 0.333 0.667
Dy: 0.813 0.220 0.959
In: 0.500 0.000 0.000

final energy	-4.55	eV per atom

---

No. 9
La4DyIn2: optimized geometry, PBE.

Cell: 8.493 10.130 9.437 Å, 142.43 96.82 97.04°
Sites, in units of the cell vectors:
In: 0.152 0.438 0.900
In: 0.697 0.218 0.149
In: 0.414 0.295 0.648
In: 0.669 0.851 0.154
La: 0.550 0.575 0.213
La: 0.308 0.862 0.027
La: 0.515 0.609 0.602
La: 0.030 0.164 0.313
La: 0.730 0.149 0.742
La: 0.818 0.468 0.707
La: 0.313 0.044 0.792
La: 0.023 0.860 0.366
Dy: 0.113 0.432 0.222
Dy: 0.918 0.785 0.665

excess energy over the best structure of this formula in the dataset	0.000	eV/atom

---

No. 10
LaDy3In3: optimized geometry, PBE.

Cell: 9.407 9.407 9.407 Å, 90.00 90.00 90.00°
Sites, in units of the cell vectors:
Dy: 0.201 0.201 0.201
Dy: 0.832 0.332 0.168
Dy: 0.120 0.380 0.620
Dy: 0.332 0.168 0.832
Dy: 0.880 0.880 0.880
Dy: 0.799 0.701 0.299
Dy: 0.620 0.120 0.380
Dy: 0.299 0.799 0.701
Dy: 0.380 0.620 0.120
Dy: 0.668 0.668 0.668
Dy: 0.701 0.299 0.799
Dy: 0.168 0.832 0.332
In: 0.506 0.304 0.098
In: 0.402 0.494 0.804
In: 0.902 0.006 0.196
In: 0.098 0.506 0.304
In: 0.994 0.696 0.598
In: 0.304 0.098 0.506
In: 0.196 0.902 0.006
In: 0.494 0.804 0.402
In: 0.598 0.994 0.696
In: 0.804 0.402 0.494
In: 0.696 0.598 0.994
In: 0.006 0.196 0.902
La: 0.547 0.953 0.047
La: 0.047 0.547 0.953
La: 0.953 0.047 0.547
La: 0.453 0.453 0.453

excess energy over the best structure of this formula in the dataset	0.037	eV/atom

---

No. 11
La14DyIn: optimized geometry, PBE.

Cell: 7.334 7.334 10.414 Å, 90.00 90.00 90.03°
Sites, in units of the cell vectors:
La: 0.620 0.380 0.756
La: 0.130 0.380 0.756
La: 0.130 0.870 0.244
La: 0.375 0.125 0.500
La: 0.620 0.870 0.244
La: 0.620 0.870 0.756
La: 0.130 0.870 0.756
La: 0.875 0.125 0.500
La: 0.620 0.380 0.244
La: 0.375 0.625 0.500
La: 0.130 0.380 0.244
La: 0.375 0.125 0.000
La: 0.875 0.625 0.500
La: 0.875 0.625 0.000
In: 0.375 0.625 0.000
Dy: 0.875 0.125 0.000

final energy	-4.83	eV per atom

---

No. 12
La2DyIn: optimized geometry, PBE.

Cell: 3.705 3.705 11.455 Å, 80.69 80.69 60.00°
Last column: magnetic moment on the atom in μB.
Sites, in units of the cell vectors:
Dy: 0.500 0.500 0.499  0.12
La: 0.254 0.254 0.239  0.02
La: 0.080 0.080 0.761  0.03
In: 0.667 0.667 0.000  0.00

excess energy over the best structure of this formula in the dataset	0.168	eV/atom

---

No. 13
La12Dy3In: optimized geometry, PBE.

Cell: 5.160 5.160 20.813 Å, 90.00 90.00 90.00°
Sites, in units of the cell vectors:
Dy: 0.000 0.000 0.248
Dy: 0.000 0.000 0.752
Dy: 0.000 0.000 0.500
La: 0.000 0.500 0.878
La: 0.500 0.000 0.878
La: 0.500 0.500 0.500
La: 0.000 0.500 0.374
La: 0.500 0.000 0.374
La: 0.000 0.500 0.626
La: 0.500 0.500 0.000
La: 0.500 0.000 0.626
La: 0.000 0.500 0.122
La: 0.500 0.000 0.122
La: 0.500 0.500 0.751
La: 0.500 0.500 0.249
In: 0.000 0.000 0.000

final energy	-4.79	eV per atom

---

No. 14
La3Dy4In: optimized geometry, PBE.

Cell: 6.201 7.239 11.491 Å, 90.00 90.00 90.00°
Sites, in units of the cell vectors:
La: 0.741 0.128 0.231
La: 0.241 0.872 0.731
La: 0.384 0.632 0.000
La: 0.241 0.872 0.269
La: 0.741 0.128 0.769
La: 0.884 0.368 0.500
Dy: 0.730 0.611 0.241
Dy: 0.230 0.389 0.741
Dy: 0.911 0.874 0.000
Dy: 0.730 0.611 0.759
Dy: 0.230 0.389 0.259
Dy: 0.377 0.144 0.000
Dy: 0.411 0.126 0.500
Dy: 0.877 0.856 0.500
In: 0.402 0.615 0.500
In: 0.902 0.385 0.000

final energy	-4.58	eV per atom

---

No. 15
La3Dy12In: optimized geometry, PBE.

Cell: 4.999 4.999 20.359 Å, 90.00 90.00 90.00°
Sites, in units of the cell vectors:
In: 0.000 0.000 0.000
Dy: 0.500 0.500 0.242
Dy: 0.500 0.000 0.373
Dy: 0.000 0.500 0.118
Dy: 0.000 0.500 0.373
Dy: 0.500 0.000 0.118
Dy: 0.500 0.500 0.500
Dy: 0.500 0.000 0.882
Dy: 0.500 0.500 0.758
Dy: 0.000 0.500 0.882
Dy: 0.500 0.500 0.000
Dy: 0.000 0.500 0.627
Dy: 0.500 0.000 0.627
La: 0.000 0.000 0.751
La: 0.000 0.000 0.500
La: 0.000 0.000 0.249

final energy	-4.57	eV per atom

---

No. 16
LaDy2In4: optimized geometry, PBE.

Cell: 4.691 4.691 10.128 Å, 103.39 103.39 90.00°
Sites, in units of the cell vectors:
Dy: 0.751 0.751 0.502
Dy: 0.249 0.249 0.498
In: 0.127 0.627 0.255
In: 0.873 0.373 0.745
In: 0.373 0.873 0.745
In: 0.627 0.127 0.255
La: 0.000 0.000 0.000

final energy	-3.87	eV per atom

---

No. 17
LaDy3In: optimized geometry, PBE.

Cell: 4.937 4.875 12.921 Å, 90.00 78.99 90.00°
Sites, in units of the cell vectors:
Dy: 0.278 0.750 0.092
Dy: 0.575 0.250 0.498
Dy: 0.073 0.750 0.502
Dy: 0.773 0.250 0.103
Dy: 0.876 0.750 0.897
Dy: 0.370 0.250 0.908
La: 0.178 0.250 0.293
La: 0.471 0.750 0.707
In: 0.669 0.750 0.310
In: 0.979 0.250 0.690

excess energy over the best structure of this formula in the dataset	0.000	eV/atom

---

No. 18
La6Dy2In: optimized geometry, PBE.

Cell: 6.004 6.344 9.609 Å, 70.72 81.26 62.61°
Sites, in units of the cell vectors:
La: 0.158 0.530 0.817
La: 0.158 0.847 0.183
La: 0.653 0.697 0.500
La: 0.347 0.303 0.500
La: 0.842 0.153 0.817
La: 0.842 0.470 0.183
Dy: 0.500 0.177 0.146
Dy: 0.500 0.823 0.854
In: 0.000 0.000 0.500

final energy	-4.65	eV per atom

---

No. 19
La3DyIn2: optimized geometry, PBE.

Cell: 6.853 6.825 9.839 Å, 110.29 110.38 90.00°
Last column: magnetic moment on the atom in μB.
Sites, in units of the cell vectors:
La: 0.500 0.750 0.000  0.08
La: 0.926 0.177 0.354  0.11
La: 0.500 0.250 0.000  0.08
La: 0.427 0.677 0.354  0.11
La: 0.074 0.823 0.646  0.11
La: 0.573 0.323 0.646  0.11
Dy: 0.000 0.250 0.000  0.18
Dy: 0.000 0.750 0.000  0.18
In: 0.108 0.368 0.737  -0.01
In: 0.629 0.868 0.737  -0.01
In: 0.892 0.632 0.263  -0.01
In: 0.371 0.132 0.263  -0.01

excess energy over the best structure of this formula in the dataset	0.050	eV/atom

---

No. 20
La3Dy2In2: optimized geometry, PBE.

Cell: 3.332 5.551 11.563 Å, 103.88 90.00 90.00°
Sites, in units of the cell vectors:
La: 0.000 0.000 0.000
La: 0.000 0.716 0.433
La: 0.000 0.284 0.567
In: 0.500 0.142 0.285
In: 0.500 0.858 0.715
Dy: 0.000 0.425 0.851
Dy: 0.000 0.575 0.149

final energy	-4.30	eV per atom

---

Number 1: total magnetization 0.0004 μB/atom. Number 2: total magnetization 0.0000 μB/atom. Number 3: total magnetization 0.0566 μB/atom. Number 4: total magnetization 0.0001 μB/atom. Number 5: total magnetization 0.0000 μB/atom. Number 6: total magnetization 0.0000 μB/atom. Number 7: total magnetization 0.0000 μB/atom. Number 8: total magnetization 0.0000 μB/atom. Number 9: total magnetization 0.0000 μB/atom. Number 10: total magnetization 0.0000 μB/atom. Number 11: total magnetization 0.0000 μB/atom. Number 12: total magnetization 0.0757 μB/atom. Number 13: total magnetization 0.0003 μB/atom. Number 14: total magnetization 0.0000 μB/atom. Number 15: total magnetization 0.0010 μB/atom. Number 16: total magnetization 0.0154 μB/atom. Number 17: total magnetization 0.0000 μB/atom. Number 18: total magnetization 0.0000 μB/atom. Number 19: total magnetization 0.1766 μB/atom. Number 20: total magnetization 0.0033 μB/atom.